A plane-wave DFT calculation with GGA-PBE was carried out for crystalline MgZrSe2 at its relaxed geometry.

```
4
Lattice="6.5796 0.0127 0.0280 5.5601 3.5181 0.0280 -0.0177 -0.0051 3.7569" Properties=species:S:1:pos:R:3 pbc="T T T"
Se 0.3652 0.1062 0.4725
Zr 5.4230 1.5772 2.3738
Se 9.4754 2.7559 2.3911
Mg 2.9196 0.8491 0.4821
```

## Properties
- Fermi-level density of states (states/eV/atom) = 0.47
- E_tot (eV/atom) = -5.392
- E_form (uncorrected) (eV per atom) = -1.11
- symmetry = Amm2

=====

A plane-wave DFT calculation with GGA-PBE was carried out for crystalline CeDy6HoEr2 at its relaxed geometry.

```
20
Lattice="-4.6154 -3.4083 -7.5646 2.5955 -7.8426 2.7289 -7.1723 3.2703 3.6815" Properties=species:S:1:pos:R:3 pbc="T T T"
Dy -2.0067 -7.3666 1.8789
Er -5.0628 -5.5577 1.3805
Dy -7.7289 -0.5558 0.5709
Dy -1.4634 -7.4248 -1.7251
Ho 1.1680 -8.3834 0.8644
Dy -7.1855 -0.6140 -3.0332
Dy -2.5714 -4.3308 -0.4058
Dy -6.6208 -3.6498 -0.7485
Dy -6.9585 -3.6691 -3.9853
Er -8.3477 -6.1501 -2.3065
Ho -10.3602 0.4028 -2.0186
Dy -9.6889 -2.9561 -1.3792
Ce -4.8572 -5.8580 -2.5553
Ce -4.3350 -2.1226 1.4011
Er -4.1294 -2.4229 -2.5347
Dy -5.3644 1.3431 2.6628
Dy -2.2337 -4.3115 2.8310
Dy -3.8278 -9.3237 -3.8170
Er -0.8446 -1.8305 1.1523
Dy 0.4967 -5.0245 0.2250
```

## Properties
- Fermi-level density of states (states/eV/atom) = 1.87
- E_tot (eV/atom) = -4.569
- energy relative to the elements (meV per atom) = 156
- symmetry = C2/c

=====

A plane-wave DFT calculation with GGA-PBE was carried out for crystalline RbSbTe2Pt at its relaxed geometry.

```
5
Lattice="5.7188 0.0000 0.0000 0.0000 5.1053 0.0000 0.0000 0.0000 5.7188" Properties=species:S:1:pos:R:3 pbc="T T T"
Rb 2.8594 2.5527 2.8594
Te 0.0000 0.0000 2.8594
Sb 0.0000 2.5527 0.0000
Te 2.8594 0.0000 0.0000
Pt 0.0000 0.0000 0.0000
```

## Properties
- Fermi-level density of states (states/eV/atom) = 0.66
- E_tot (eV/atom) = -3.640
- E_form (uncorrected) (eV per atom) = -0.16
- symmetry = P4/mmm
- offset from the most stable computed form (eV per atom) = 0.000

=====

A plane-wave DFT calculation with GGA-PBE was carried out for crystalline NaMgIr3 at its relaxed geometry.

```
5
Lattice="4.6131 0.0000 0.0000 0.0000 4.6131 0.0000 0.0000 0.0000 4.6131" Properties=species:S:1:pos:R:3 pbc="T T T"
Ir 0.0000 0.0000 2.3066
Mg 0.0000 0.0000 0.0000
Ir 2.3066 0.0000 0.0000
Na 2.3066 2.3066 2.3066
Ir 0.0000 2.3066 0.0000
```

## Properties
- Fermi-level density of states (states/eV/atom) = 1.32
- E_tot (eV/atom) = -4.408
- energy relative to the elements (meV per atom) = 1491
- symmetry = Pm-3m
- offset from the most stable computed form (eV per atom) = 0.000